a:
YCo2Ru: relaxed, PBE-GGA.

Values from the calculation:
- SG: Imm2, No. 44
- D(E_F): 4.902 states/eV/f.u.
- Magnetization: 4.13 μB per cell

The structure in extended XYZ format:
```
4
Lattice="-1.5899 2.2514 4.3857 1.5899 -2.2514 4.3857 1.5899 2.2514 -4.3857" Properties=species:S:1:pos:R:3 pbc="T T T"
Y 0.0000 0.0000 0.0000
Co 1.5899 0.0000 2.4027
Co 0.0000 0.0000 4.3026
Ru 0.0000 2.2514 1.9803
```



b:
YCo2Ru: relaxed, PBE-GGA.

Values from the calculation:
- SG: R-3m, No. 166
- D(E_F): 5.032 states/eV/f.u.
- Magnetization: 3.97 μB per cell

The structure in extended XYZ format:
```
4
Lattice="1.4683 0.8477 8.5460 -1.4683 0.8477 8.5460 0.0000 -1.6954 8.5460" Properties=species:S:1:pos:R:3 pbc="T T T"
Y 0.0000 0.0000 0.0000
Co 0.0000 0.0000 6.1477
Co 0.0000 0.0000 19.4902
Ru 0.0000 0.0000 12.8190
```



c:
YCo2Ru: relaxed, PBE-GGA.

Values from the calculation:
- SG: Immm, No. 71
- D(E_F): 5.288 states/eV/f.u.
- Magnetization: 4.14 μB per cell

The structure in extended XYZ format:
```
4
Lattice="-1.6230 2.2346 4.3940 1.6230 -2.2346 4.3940 1.6230 2.2346 -4.3940" Properties=species:S:1:pos:R:3 pbc="T T T"
Y 0.0000 0.0000 0.0000
Co 1.6230 0.0000 2.3684
Co 0.0000 2.2346 2.0256
Ru 0.0000 0.0000 4.3940
```



d:
YCo2Ru: relaxed, PBE-GGA.

Values from the calculation:
- SG: I-42d, No. 122
- D(E_F): 7.952 states/eV/f.u.
- Magnetization: 3.92 μB per cell

The structure in extended XYZ format:
```
8
Lattice="-2.1535 2.1535 8.1757 2.1535 -2.1535 8.1757 2.1535 2.1535 -8.1757" Properties=species:S:1:pos:R:3 pbc="T T T"
Y 0.0000 0.0000 0.0000
Y 0.0000 2.1535 4.0879
Co 1.0767 -0.3407 6.1318
Co 1.8128 1.0767 2.0439
Co 1.0767 2.4942 -2.0439
Co 0.3407 1.0767 10.2197
Ru 2.1535 0.0000 4.0879
Ru 0.0000 0.0000 8.1757
```



a (0.022 eV/atom below the next structure)



a:
YCo2Ru: relaxed, PBE-GGA.

Values from the calculation:
- SG: P4mm, No. 99
- D(E_F): 4.776 states/eV/f.u.
- Magnetization: 3.81 μB per cell

The structure in extended XYZ format:
```
4
Lattice="3.1318 0.0000 0.0000 0.0000 3.1318 0.0000 0.0000 0.0000 6.4505" Properties=species:S:1:pos:R:3 pbc="T T T"
Y 0.0000 0.0000 0.0000
Co 0.0000 0.0000 3.1171
Co 1.5659 1.5659 2.0329
Ru 1.5659 1.5659 4.5136
```



b:
YCo2Ru: relaxed, PBE-GGA.

Values from the calculation:
- SG: P2/m, No. 10
- D(E_F): 4.718 states/eV/f.u.
- Magnetization: 3.73 μB per cell

The structure in extended XYZ format:
```
4
Lattice="2.9632 0.0000 0.0000 0.0000 4.0635 0.0000 -1.4046 0.0000 5.3685" Properties=species:S:1:pos:R:3 pbc="T T T"
Y 0.0000 0.0000 0.0000
Co 0.2261 2.0318 3.7195
Co 1.3325 2.0318 1.6489
Ru -0.7023 0.0000 2.6842
```



a (0.073 eV/atom below the next structure)



a:
YCo2Ru: relaxed, PBE-GGA.

Values from the calculation:
- SG: Amm2, No. 38
- D(E_F): 6.277 states/eV/f.u.
- Magnetization: 2.15 μB per cell

The structure in extended XYZ format:
```
4
Lattice="4.0225 0.0000 0.0000 0.0000 1.5154 5.0965 0.0000 -1.5154 5.0965" Properties=species:S:1:pos:R:3 pbc="T T T"
Y 0.0000 0.0000 0.0000
Co 0.0000 0.0000 7.5482
Co 2.0113 0.0000 6.2736
Ru 2.0113 0.0000 3.1675
```



b:
YCo2Ru: relaxed, PBE-GGA.

Values from the calculation:
- SG: I-4m2, No. 119
- D(E_F): 6.562 states/eV/f.u.
- Magnetization: 3.67 μB per cell

The structure in extended XYZ format:
```
4
Lattice="-1.9520 1.9520 4.0959 1.9520 -1.9520 4.0959 1.9520 1.9520 -4.0959" Properties=species:S:1:pos:R:3 pbc="T T T"
Y 0.0000 0.0000 0.0000
Co 1.9520 0.0000 2.0480
Co 0.0000 0.0000 4.0959
Ru 0.0000 1.9520 2.0480
```



a (0.094 eV/atom below the next structure)



a:
Zn2CoRu: relaxed, PBE-GGA.

Values from the calculation:
- SG: Cm, No. 8
- D(E_F): 4.181 states/eV/f.u.
- Magnetization: 1.70 μB per cell

The structure in extended XYZ format:
```
4
Lattice="4.3934 -1.3747 0.0000 4.3934 1.3747 0.0000 -0.9856 0.0000 4.3859" Properties=species:S:1:pos:R:3 pbc="T T T"
Zn 0.0000 0.0000 0.0000
Zn 1.3821 0.0000 3.3043
Co 3.8564 0.0000 2.1527
Ru 6.3886 0.0000 1.1716
```



b:
Zn2CoRu: relaxed, PBE-GGA.

Values from the calculation:
- SG: I4/mmm, No. 139
- D(E_F): 5.265 states/eV/f.u.
- Magnetization: 2.37 μB per cell

The structure in extended XYZ format:
```
4
Lattice="-1.8582 1.8582 3.8430 1.8582 -1.8582 3.8430 1.8582 1.8582 -3.8430" Properties=species:S:1:pos:R:3 pbc="T T T"
Zn 1.8582 0.0000 1.9215
Zn 0.0000 1.8582 1.9215
Co 0.0000 0.0000 0.0000
Ru 0.0000 0.0000 3.8430
```



c:
Zn2CoRu: relaxed, PBE-GGA.

Values from the calculation:
- SG: C2/m, No. 12
- D(E_F): 3.437 states/eV/f.u.
- Magnetization: 0.54 μB per cell

The structure in extended XYZ format:
```
4
Lattice="4.2965 -1.3165 0.0000 4.2965 1.3165 0.0000 -0.8277 0.0000 4.6104" Properties=species:S:1:pos:R:3 pbc="T T T"
Zn 1.9108 0.0000 1.1113
Zn 5.8546 0.0000 3.4991
Co 4.2965 0.0000 0.0000
Ru -0.4139 0.0000 2.3052
```



d:
Zn2CoRu: relaxed, PBE-GGA.

Values from the calculation:
- SG: Pmmm, No. 47
- D(E_F): 5.423 states/eV/f.u.
- Magnetization: 2.56 μB per cell

The structure in extended XYZ format:
```
4
Lattice="2.7467 0.0000 0.0000 0.0000 3.6536 0.0000 0.0000 0.0000 5.3057" Properties=species:S:1:pos:R:3 pbc="T T T"
Zn 0.0000 0.0000 1.2836
Zn 0.0000 0.0000 4.0222
Co 1.3733 1.8268 0.0000
Ru 1.3733 1.8268 2.6529
```



a (0.008 eV/atom below the next structure)



a:
Zn2CoRu: relaxed, PBE-GGA.

Values from the calculation:
- SG: R3m, No. 160
- D(E_F): 3.578 states/eV/f.u.
- Magnetization: 1.29 μB per cell

The structure in extended XYZ format:
```
4
Lattice="1.3392 0.7732 8.6821 -1.3392 0.7732 8.6821 0.0000 -1.5464 8.6821" Properties=species:S:1:pos:R:3 pbc="T T T"
Zn 0.0000 0.0000 0.0000
Zn 0.0000 0.0000 6.2822
Co 0.0000 0.0000 19.4291
Ru 0.0000 0.0000 12.7279
```



b:
Zn2CoRu: relaxed, PBE-GGA.

Values from the calculation:
- SG: P4mm, No. 99
- D(E_F): 2.833 states/eV/f.u.
- Magnetization: 0.46 μB per cell

The structure in extended XYZ format:
```
4
Lattice="2.6784 0.0000 0.0000 0.0000 2.6784 0.0000 0.0000 0.0000 7.4158" Properties=species:S:1:pos:R:3 pbc="T T T"
Zn 0.0000 0.0000 0.0000
Zn 1.3392 1.3392 2.0945
Co 0.0000 0.0000 3.8484
Ru 1.3392 1.3392 5.4611
```



b (0.050 eV/atom below the next structure)



a:
Zn2CoRu: relaxed, PBE-GGA.

Values from the calculation:
- SG: I-4m2, No. 119
- D(E_F): 2.835 states/eV/f.u.
- Magnetization: 2.36 μB per cell

The structure in extended XYZ format:
```
4
Lattice="-1.9423 1.9423 3.4987 1.9423 -1.9423 3.4987 1.9423 1.9423 -3.4987" Properties=species:S:1:pos:R:3 pbc="T T T"
Zn 0.0000 0.0000 0.0000
Zn 0.0000 1.9423 1.7493
Co 1.9423 0.0000 1.7493
Ru 0.0000 0.0000 3.4987
```



b:
Zn2CoRu: relaxed, PBE-GGA.

Values from the calculation:
- SG: Cmm2, No. 35
- D(E_F): 4.094 states/eV/f.u.
- Magnetization: 2.21 μB per cell

The structure in extended XYZ format:
```
4
Lattice="1.4027 -2.2413 0.0000 1.4027 2.2413 0.0000 0.0000 0.0000 8.6744" Properties=species:S:1:pos:R:3 pbc="T T T"
Zn 0.0000 0.0000 0.0000
Zn 1.4027 0.0000 2.3077
Co 0.0000 0.0000 4.3895
Ru 1.4027 0.0000 6.4460
```



c:
Zn2CoRu: relaxed, PBE-GGA.

Values from the calculation:
- SG: Cmmm, No. 65
- D(E_F): 4.194 states/eV/f.u.
- Magnetization: 1.16 μB per cell

The structure in extended XYZ format:
```
4
Lattice="1.4412 -2.1895 0.0000 1.4412 2.1895 0.0000 0.0000 0.0000 8.4617" Properties=species:S:1:pos:R:3 pbc="T T T"
Zn 0.0000 0.0000 2.0342
Zn 0.0000 0.0000 6.4275
Co 1.4412 0.0000 0.0000
Ru 1.4412 0.0000 4.2309
```



d:
Zn2CoRu: relaxed, PBE-GGA.

Values from the calculation:
- SG: P4/mmm, No. 123
- D(E_F): 4.888 states/eV/f.u.
- Magnetization: 2.35 μB per cell

The structure in extended XYZ format:
```
4
Lattice="3.7264 0.0000 0.0000 0.0000 3.7264 0.0000 0.0000 0.0000 3.8161" Properties=species:S:1:pos:R:3 pbc="T T T"
Zn 0.0000 1.8632 0.0000
Zn 1.8632 0.0000 0.0000
Co 0.0000 0.0000 1.9081
Ru 1.8632 1.8632 1.9081
```



d (0.006 eV/atom below the next structure)



a:
Zn2CoRu: relaxed, PBE-GGA.

Values from the calculation:
- SG: Fm-3m, No. 225
- D(E_F): 6.290 states/eV/f.u.
- Magnetization: 1.97 μB per cell

The structure in extended XYZ format:
```
4
Lattice="0.0000 2.9708 2.9708 2.9708 0.0000 2.9708 2.9708 2.9708 0.0000" Properties=species:S:1:pos:R:3 pbc="T T T"
Zn 1.4854 1.4854 1.4854
Zn 4.4563 4.4563 4.4563
Co 0.0000 0.0000 0.0000
Ru 2.9708 2.9708 2.9708
```



b:
Zn2CoRu: relaxed, PBE-GGA.

Values from the calculation:
- SG: R-3m, No. 166
- D(E_F): 3.695 states/eV/f.u.
- Magnetization: 1.58 μB per cell

The structure in extended XYZ format:
```
4
Lattice="1.3468 0.7776 8.4595 -1.3468 0.7776 8.4595 0.0000 -1.5551 8.4595" Properties=species:S:1:pos:R:3 pbc="T T T"
Zn 0.0000 0.0000 6.2713
Zn 0.0000 0.0000 19.1071
Co 0.0000 0.0000 12.6892
Ru 0.0000 0.0000 0.0000
```



b (0.023 eV/atom below the next structure)



a:
Zn2CoRu: relaxed, PBE-GGA.

Values from the calculation:
- SG: I-42d, No. 122
- D(E_F): 3.690 states/eV/f.u.
- Magnetization: 5.47 μB per cell

The structure in extended XYZ format:
```
8
Lattice="-3.3732 3.3732 2.5368 3.3732 -3.3732 2.5368 3.3732 3.3732 -2.5368" Properties=species:S:1:pos:R:3 pbc="T T T"
Zn 1.6866 1.5883 -0.6342
Zn 1.7849 -1.6866 3.1711
Zn 1.6866 1.7849 1.9026
Zn 1.5883 5.0599 0.6342
Co 0.0000 0.0000 0.0000
Co 0.0000 3.3732 1.2684
Ru 3.3732 0.0000 1.2684
Ru 0.0000 0.0000 2.5368
```



b:
Zn2CoRu: relaxed, PBE-GGA.

Values from the calculation:
- SG: Immm, No. 71
- D(E_F): 3.100 states/eV/f.u.
- Magnetization: 2.14 μB per cell

The structure in extended XYZ format:
```
4
Lattice="-1.5222 2.0909 4.1518 1.5222 -2.0909 4.1518 1.5222 2.0909 -4.1518" Properties=species:S:1:pos:R:3 pbc="T T T"
Zn 0.0000 0.0000 2.0032
Zn 0.0000 0.0000 6.3005
Co 1.5222 0.0000 0.0000
Ru 0.0000 2.0909 0.0000
```



c:
Zn2CoRu: relaxed, PBE-GGA.

Values from the calculation:
- SG: P4/mmm, No. 123
- D(E_F): 4.485 states/eV/f.u.
- Magnetization: 1.98 μB per cell

The structure in extended XYZ format:
```
4
Lattice="2.9932 0.0000 0.0000 0.0000 2.9932 0.0000 0.0000 0.0000 5.8158" Properties=species:S:1:pos:R:3 pbc="T T T"
Zn 0.0000 0.0000 1.3736
Zn 0.0000 0.0000 4.4421
Co 1.4966 1.4966 0.0000
Ru 1.4966 1.4966 2.9079
```



b (0.013 eV/atom below the next structure)